The following is a PBE+U calculation of a relaxed BeNiIr2F crystal, from the Alexandria database.

ρ (Mg/m³): 12.7
Crystal system: tetragonal
Volume (Å³/atom): 12.28
Final energy (eV per formula unit): -23.34

POSCAR file:
```
BeNiIr2F
1.0
4.573 0.000 0.000
0.000 4.573 0.000
0.000 0.000 2.936
Be Ni Ir F
1 1 2 1
Direct
0.000 0.000 0.000
0.500 0.500 0.500
0.000 0.500 0.000
0.500 0.000 0.000
0.000 0.000 0.500
```